# YMnGe2 | the Alexandria database | PBE | relaxed
data_YMnGe2
_space_group_name_H-M_alt 'I -4 2 d'
_space_group_IT_number 122
_space_group_name_Hall 'I -4 2bw'
_cell_length_a 4.646
_cell_length_b 4.646
_cell_length_c 16.548
_cell_angle_alpha 90.00
_cell_angle_beta 90.00
_cell_angle_gamma 90.00
loop_
_atom_site_label
_atom_site_fract_x
_atom_site_fract_y
_atom_site_fract_z
Y1 0.000 0.000 0.000
Mn1 0.000 0.000 0.500
Ge1 0.118 0.250 0.625
# Formation enthalpy at 0 K, eV/atom: -0.078
# DFT total energy, Ha/atom: -0.2314
# N(E_F), states/eV/f.u.: 2.44

=====

# YbMn6Ge6 | the Alexandria database | PBE | relaxed
data_YbMn6Ge6
_space_group_name_H-M_alt 'P 6/m m m'
_space_group_IT_number 191
_space_group_name_Hall '-P 6 2'
_cell_length_a 5.1562
_cell_length_b 5.1562
_cell_length_c 8.1309
_cell_angle_alpha 90.00
_cell_angle_beta 90.00
_cell_angle_gamma 120.00
loop_
_atom_site_label
_atom_site_fract_x
_atom_site_fract_y
_atom_site_fract_z
Yb1 0.0000 0.0000 0.0000
Mn1 0.0000 0.5000 0.2511
Ge1 0.0000 0.0000 0.3422
Ge2 0.3333 0.6667 0.0000
Ge3 0.3333 0.6667 0.5000
# Formation enthalpy at 0 K, eV/atom: -0.271
# DFT total energy, Ha/atom: -0.2481
# N(E_F), states/eV/f.u.: 18.23

=====

# MnZnGe | the Alexandria database | PBE | relaxed
data_MnZnGe
_space_group_name_H-M_alt 'F d d d'
_space_group_IT_number 70
_cell_length_a 5.309
_cell_length_b 11.824
_cell_length_c 13.144
_cell_angle_alpha 90.00
_cell_angle_beta 90.00
_cell_angle_gamma 90.00
loop_
_space_group_symop_operation_xyz
'x,y,z'
'-x,-y,-z'
'-x+1/4,-y+1/4,z'
'x+1/4,y+1/4,-z'
'x,-y+1/4,-z+1/4'
'-x,y+1/4,z+1/4'
'-x+1/4,y,-z+1/4'
'x+1/4,-y,z+1/4'
'x,y+1/2,z+1/2'
'-x,-y+1/2,-z+1/2'
'-x+1/4,-y+3/4,z+1/2'
'x+1/4,y+3/4,-z+1/2'
'x,-y+3/4,-z+3/4'
'-x,y+3/4,z+3/4'
'-x+1/4,y+1/2,-z+3/4'
'x+1/4,-y+1/2,z+3/4'
'x+1/2,y,z+1/2'
'-x+1/2,-y,-z+1/2'
'-x+3/4,-y+1/4,z+1/2'
'x+3/4,y+1/4,-z+1/2'
'x+1/2,-y+1/4,-z+3/4'
'-x+1/2,y+1/4,z+3/4'
'-x+3/4,y,-z+3/4'
'x+3/4,-y,z+3/4'
'x+1/2,y+1/2,z'
'-x+1/2,-y+1/2,-z'
'-x+3/4,-y+3/4,z'
'x+3/4,y+3/4,-z'
'x+1/2,-y+3/4,-z+1/4'
'-x+1/2,y+3/4,z+1/4'
'-x+3/4,y+1/2,-z+1/4'
'x+3/4,-y+1/2,z+1/4'
loop_
_atom_site_label
_atom_site_fract_x
_atom_site_fract_y
_atom_site_fract_z
Mn1 0.000 0.000 0.000
Zn1 0.125 0.334 0.625
Ge1 0.115 0.375 0.875
# Formation enthalpy at 0 K, eV/atom: 0.261
# DFT total energy, Ha/atom: -0.1749
# N(E_F), states/eV/f.u.: 1.33

=====

# Mn2Zn2Ge | the Alexandria database | PBE | relaxed
data_Mn2Zn2Ge
_space_group_name_H-M_alt 'P 4/m b m'
_space_group_IT_number 127
_space_group_name_Hall '-P 4 2ab'
_cell_length_a 6.029
_cell_length_b 6.029
_cell_length_c 3.938
_cell_angle_alpha 90.00
_cell_angle_beta 90.00
_cell_angle_gamma 90.00
loop_
_atom_site_label
_atom_site_fract_x
_atom_site_fract_y
_atom_site_fract_z
Mn1 0.138 0.362 0.000
Zn1 0.158 0.658 0.500
Ge1 0.000 0.000 0.000
# Formation enthalpy at 0 K, eV/atom: 0.091
# DFT total energy, Ha/atom: -0.1841
# N(E_F), states/eV/f.u.: 2.22

=====

# Mn4ZnGe2 | the Alexandria database | PBE | relaxed
data_Mn4ZnGe2
_space_group_name_H-M_alt 'I m m m'
_space_group_IT_number 71
_space_group_name_Hall '-I 2 2'
_cell_length_a 2.848
_cell_length_b 3.838
_cell_length_c 17.436
_cell_angle_alpha 90.00
_cell_angle_beta 90.00
_cell_angle_gamma 90.00
loop_
_atom_site_label
_atom_site_fract_x
_atom_site_fract_y
_atom_site_fract_z
Mn1 0.000 0.000 0.142
Mn2 0.000 0.500 0.246
Zn1 0.000 0.000 0.000
Ge1 0.000 0.000 0.378
# Formation enthalpy at 0 K, eV/atom: 0.055
# DFT total energy, Ha/atom: -0.2457
# N(E_F), states/eV/f.u.: 4.27

=====

# MnZn3Ge | the Alexandria database | PBE | relaxed
data_MnZn3Ge
_space_group_name_H-M_alt 'P m -3 m'
_space_group_IT_number 221
_space_group_name_Hall '-P 4 2 3'
_cell_length_a 4.711
_cell_length_b 4.711
_cell_length_c 4.711
_cell_angle_alpha 90.00
_cell_angle_beta 90.00
_cell_angle_gamma 90.00
loop_
_atom_site_label
_atom_site_fract_x
_atom_site_fract_y
_atom_site_fract_z
Mn1 0.000 0.000 0.000
Zn1 0.000 0.000 0.500
Ge1 0.500 0.500 0.500
# Energy relative to the lowest polymorph listed for this composition, meV per atom: 0
# Formation enthalpy at 0 K, eV/atom: 0.734
# DFT total energy, Ha/atom: -0.1024
# N(E_F), states/eV/f.u.: 2.47

=====

# MnZnGe2 | the Alexandria database | PBE | relaxed
data_MnZnGe2
_space_group_name_H-M_alt 'R -3 m'
_space_group_IT_number 166
_space_group_name_Hall '-R 3 2"'
_cell_length_a 2.9736
_cell_length_b 2.9736
_cell_length_c 25.2509
_cell_angle_alpha 90.00
_cell_angle_beta 90.00
_cell_angle_gamma 120.00
loop_
_atom_site_label
_atom_site_fract_x
_atom_site_fract_y
_atom_site_fract_z
Mn1 0.0000 0.0000 0.0000
Zn1 0.0000 0.0000 0.5000
Ge1 0.0000 0.0000 0.4023
# Formation enthalpy at 0 K, eV/atom: 0.104
# DFT total energy, Ha/atom: -0.1770
# N(E_F), states/eV/f.u.: 2.17

=====

# MnZnGe | the Alexandria database | PBE | relaxed
data_MnZnGe
_space_group_name_H-M_alt 'I 4/m m m'
_space_group_IT_number 139
_space_group_name_Hall '-I 4 2'
_cell_length_a 3.837
_cell_length_b 3.837
_cell_length_c 12.169
_cell_angle_alpha 90.00
_cell_angle_beta 90.00
_cell_angle_gamma 90.00
loop_
_atom_site_label
_atom_site_fract_x
_atom_site_fract_y
_atom_site_fract_z
Mn1 0.000 0.500 0.000
Zn1 0.000 0.000 0.152
Ge1 0.000 0.000 0.361
# Formation enthalpy at 0 K, eV/atom: -0.050
# DFT total energy, Ha/atom: -0.1863
# N(E_F), states/eV/f.u.: 1.34

=====

# MnZnGe2 | the Alexandria database | PBE | relaxed
data_MnZnGe2
_space_group_name_H-M_alt 'I -4 2 d'
_space_group_IT_number 122
_space_group_name_Hall 'I -4 2bw'
_cell_length_a 5.126
_cell_length_b 5.126
_cell_length_c 14.470
_cell_angle_alpha 90.00
_cell_angle_beta 90.00
_cell_angle_gamma 90.00
loop_
_atom_site_label
_atom_site_fract_x
_atom_site_fract_y
_atom_site_fract_z
Mn1 0.000 0.000 0.000
Zn1 0.000 0.000 0.500
Ge1 0.213 0.250 0.125
# Formation enthalpy at 0 K, eV/atom: 0.497
# DFT total energy, Ha/atom: -0.1625
# N(E_F), states/eV/f.u.: 2.60

=====

# MnZnGe3 | the Alexandria database | PBE | relaxed
data_MnZnGe3
_space_group_name_H-M_alt 'P m -3 m'
_space_group_IT_number 221
_space_group_name_Hall '-P 4 2 3'
_cell_length_a 4.632
_cell_length_b 4.632
_cell_length_c 4.632
_cell_angle_alpha 90.00
_cell_angle_beta 90.00
_cell_angle_gamma 90.00
loop_
_atom_site_label
_atom_site_fract_x
_atom_site_fract_y
_atom_site_fract_z
Mn1 0.000 0.000 0.000
Zn1 0.500 0.500 0.500
Ge1 0.000 0.000 0.500
# Energy relative to the lowest polymorph listed for this composition, meV per atom: 0
# Formation enthalpy at 0 K, eV/atom: 0.244
# DFT total energy, Ha/atom: -0.1696
# N(E_F), states/eV/f.u.: 3.23

=====

# MnZnGe | the Alexandria database | PBE | relaxed
data_MnZnGe
_space_group_name_H-M_alt 'P 3 m 1'
_space_group_IT_number 156
_space_group_name_Hall 'P 3 -2"'
_cell_length_a 4.2834
_cell_length_b 4.2834
_cell_length_c 2.8720
_cell_angle_alpha 90.00
_cell_angle_beta 90.00
_cell_angle_gamma 120.00
loop_
_atom_site_label
_atom_site_fract_x
_atom_site_fract_y
_atom_site_fract_z
Mn1 0.0000 0.0000 0.0000
Zn1 0.6667 0.3333 0.4447
Ge1 0.3333 0.6667 0.5868
# Formation enthalpy at 0 K, eV/atom: 0.183
# DFT total energy, Ha/atom: -0.1778
# N(E_F), states/eV/f.u.: 1.73

=====

# MnZnGe3 | the Alexandria database | PBE | relaxed
data_MnZnGe3
_space_group_name_H-M_alt 'P m -3 m'
_space_group_IT_number 221
_space_group_name_Hall '-P 4 2 3'
_cell_length_a 4.797
_cell_length_b 4.797
_cell_length_c 4.797
_cell_angle_alpha 90.00
_cell_angle_beta 90.00
_cell_angle_gamma 90.00
loop_
_atom_site_label
_atom_site_fract_x
_atom_site_fract_y
_atom_site_fract_z
Mn1 0.000 0.000 0.000
Zn1 0.500 0.500 0.500
Ge1 0.000 0.500 0.500
# Energy relative to the lowest polymorph listed for this composition, meV per atom: 576
# Formation enthalpy at 0 K, eV/atom: 0.820
# DFT total energy, Ha/atom: -0.1484
# N(E_F), states/eV/f.u.: 3.05

=====

# Mn3ZnGe | the Alexandria database | PBE | relaxed
data_Mn3ZnGe
_space_group_name_H-M_alt 'P m -3 m'
_space_group_IT_number 221
_space_group_name_Hall '-P 4 2 3'
_cell_length_a 4.674
_cell_length_b 4.674
_cell_length_c 4.674
_cell_angle_alpha 90.00
_cell_angle_beta 90.00
_cell_angle_gamma 90.00
loop_
_atom_site_label
_atom_site_fract_x
_atom_site_fract_y
_atom_site_fract_z
Mn1 0.000 0.000 0.500
Zn1 0.500 0.500 0.500
Ge1 0.000 0.000 0.000
# Formation enthalpy at 0 K, eV/atom: 0.764
# DFT total energy, Ha/atom: -0.2174
# N(E_F), states/eV/f.u.: 2.65

=====

# MnZn3Ge | the Alexandria database | PBE | relaxed
data_MnZn3Ge
_space_group_name_H-M_alt 'P m -3 m'
_space_group_IT_number 221
_space_group_name_Hall '-P 4 2 3'
_cell_length_a 4.789
_cell_length_b 4.789
_cell_length_c 4.789
_cell_angle_alpha 90.00
_cell_angle_beta 90.00
_cell_angle_gamma 90.00
loop_
_atom_site_label
_atom_site_fract_x
_atom_site_fract_y
_atom_site_fract_z
Mn1 0.000 0.000 0.000
Zn1 0.000 0.500 0.500
Ge1 0.500 0.500 0.500
# Energy relative to the lowest polymorph listed for this composition, meV per atom: 30
# Formation enthalpy at 0 K, eV/atom: 0.764
# DFT total energy, Ha/atom: -0.1013
# N(E_F), states/eV/f.u.: 2.23

=====

# ZrMnZn2Ge | the Alexandria database | PBE | relaxed
data_ZrMnZn2Ge
_space_group_name_H-M_alt 'P 4/m m m'
_space_group_IT_number 123
_space_group_name_Hall '-P 4 2'
_cell_length_a 4.544
_cell_length_b 4.544
_cell_length_c 4.466
_cell_angle_alpha 90.00
_cell_angle_beta 90.00
_cell_angle_gamma 90.00
loop_
_atom_site_label
_atom_site_fract_x
_atom_site_fract_y
_atom_site_fract_z
Zr1 0.000 0.000 0.000
Mn1 0.500 0.500 0.500
Zn1 0.000 0.500 0.500
Ge1 0.500 0.500 0.000
# Formation enthalpy at 0 K, eV/atom: 0.282
# DFT total energy, Ha/atom: -0.1725
# N(E_F), states/eV/f.u.: 3.65

=====

# ZrMn2ZnGe | the Alexandria database | PBE | relaxed
data_ZrMn2ZnGe
_space_group_name_H-M_alt 'P 4/m m m'
_space_group_IT_number 123
_space_group_name_Hall '-P 4 2'
_cell_length_a 4.594
_cell_length_b 4.594
_cell_length_c 4.557
_cell_angle_alpha 90.00
_cell_angle_beta 90.00
_cell_angle_gamma 90.00
loop_
_atom_site_label
_atom_site_fract_x
_atom_site_fract_y
_atom_site_fract_z
Zr1 0.000 0.000 0.000
Mn1 0.000 0.500 0.500
Zn1 0.500 0.500 0.500
Ge1 0.500 0.500 0.000
# Formation enthalpy at 0 K, eV/atom: 0.669
# DFT total energy, Ha/atom: -0.2163
# N(E_F), states/eV/f.u.: 4.56

=====

# ZrMnGe | the Alexandria database | PBE | relaxed
data_ZrMnGe
_space_group_name_H-M_alt 'I 4 m m'
_space_group_IT_number 107
_space_group_name_Hall 'I 4 -2'
_cell_length_a 3.136
_cell_length_b 3.136
_cell_length_c 9.665
_cell_angle_alpha 90.00
_cell_angle_beta 90.00
_cell_angle_gamma 90.00
loop_
_atom_site_label
_atom_site_fract_x
_atom_site_fract_y
_atom_site_fract_z
Zr1 0.000 0.000 0.000
Mn1 0.000 0.000 0.321
Ge1 0.000 0.000 0.703
# Formation enthalpy at 0 K, eV/atom: -0.202
# DFT total energy, Ha/atom: -0.2810
# N(E_F), states/eV/f.u.: 3.18

=====

# Zr2Mn2Ge3 | the Alexandria database | PBE | relaxed
data_Zr2Mn2Ge3
_space_group_name_H-M_alt 'C 1 2/m 1'
_space_group_IT_number 12
_space_group_name_Hall '-C 2y'
_cell_length_a 9.997
_cell_length_b 3.650
_cell_length_c 6.727
_cell_angle_alpha 90.00
_cell_angle_beta 105.54
_cell_angle_gamma 90.00
loop_
_atom_site_label
_atom_site_fract_x
_atom_site_fract_y
_atom_site_fract_z
Zr1 0.077 0.000 0.236
Mn1 0.190 0.500 0.945
Ge1 0.000 0.500 0.500
Ge2 0.198 0.000 0.681
# Formation enthalpy at 0 K, eV/atom: -0.133
# DFT total energy, Ha/atom: -0.2636
# N(E_F), states/eV/f.u.: 5.44

=====

# ZrMn6Ge6 | the Alexandria database | PBE | relaxed
data_ZrMn6Ge6
_space_group_name_H-M_alt 'P 6/m m m'
_space_group_IT_number 191
_space_group_name_Hall '-P 6 2'
_cell_length_a 5.1198
_cell_length_b 5.1198
_cell_length_c 8.1439
_cell_angle_alpha 90.00
_cell_angle_beta 90.00
_cell_angle_gamma 120.00
loop_
_atom_site_label
_atom_site_fract_x
_atom_site_fract_y
_atom_site_fract_z
Zr1 0.0000 0.0000 0.0000
Mn1 0.0000 0.5000 0.2495
Ge1 0.0000 0.0000 0.3391
Ge2 0.3333 0.6667 0.0000
Ge3 0.3333 0.6667 0.5000
# Energy relative to the lowest polymorph listed for this composition, meV per atom: 0
# Formation enthalpy at 0 K, eV/atom: -0.309
# DFT total energy, Ha/atom: -0.2694
# N(E_F), states/eV/f.u.: 3.76

=====

# ZrMn6Ge6 | the Alexandria database | PBE | relaxed
data_ZrMn6Ge6
_space_group_name_H-M_alt 'I m m m'
_space_group_IT_number 71
_space_group_name_Hall '-I 2 2'
_cell_length_a 5.135
_cell_length_b 8.098
_cell_length_c 8.878
_cell_angle_alpha 90.00
_cell_angle_beta 90.00
_cell_angle_gamma 90.00
loop_
_atom_site_label
_atom_site_fract_x
_atom_site_fract_y
_atom_site_fract_z
Zr1 0.000 0.000 0.000
Mn1 0.000 0.247 0.500
Mn2 0.250 0.250 0.250
Ge1 0.000 0.000 0.333
Ge2 0.000 0.341 0.000
Ge3 0.000 0.500 0.336
# Energy relative to the lowest polymorph listed for this composition, meV per atom: 14
# Formation enthalpy at 0 K, eV/atom: -0.295
# DFT total energy, Ha/atom: -0.2688
# N(E_F), states/eV/f.u.: 5.38